A relaxed structure of GdErMgAg. Source: the Alexandria database, functional PBE-GGA.

extended XYZ file:
```
4
Lattice="0.000 3.711 3.711 3.711 0.000 3.711 3.711 3.711 0.000" Properties=species:S:1:pos:R:3 pbc="T T T"
Gd 0.000 0.000 0.000
Er 3.711 3.711 3.711
Mg 5.567 5.567 5.567
Ag 1.856 1.856 1.856
```

Summary:
Calculated formation energy ... -0.147 eV/atom
Calculated density ... 7418 kg/m3
Space-group type ... F-43m
Spin magnetization ... 7.49 μB/f.u.
Energy ... -23.68 eV per cell